# 1
Entry from the Alexandria database: crystalline Na5Bi2Au4 at its relaxed geometry (PBE-GGA).

Properties
- ρ (g/cm³) = 7.88
- calculated formation energy (eV per atom) = -0.18
- space group = C2/m
- total magnetization (μB/cell) = 0.0

a = 6.0518 Å, b = 6.8940 Å, c = 9.5022 Å
α = 51.55°, β = 71.43°, γ = 63.97°
Closest atoms and distances in Å follow each position.
Positions (direct):
Au (0.4726, 0.7482, 0.3066)  2 Bi 2.94-3.10, 2 Au 2.99-3.08, 4 Na 3.11-3.13
Au (0.5274, 0.2518, 0.6934)  2 Bi 2.94-3.10, 2 Au 2.99-3.08, 4 Na 3.11-3.13
Au (0.2332, 0.2488, 0.2847)  3 Bi 2.93-3.08, 5 Na 2.99-3.10, 1 Au 2.99
Na (0.1301, 0.2478, 0.9981)  4 Au 2.99-3.13, 4 Na 2.99-3.14, 1 Bi 3.32
Na (0.8699, 0.7522, 0.0019)  4 Au 2.99-3.13, 4 Na 2.99-3.14, 1 Bi 3.32
Au (0.7668, 0.7512, 0.7153)  3 Bi 2.93-3.08, 5 Na 2.99-3.10, 1 Au 2.99
Bi (0.2960, 0.7623, 0.6456)  5 Au 2.93-3.10
Na (0.0000, 0.5000, 0.5000)  6 Au 3.10-3.39
Na (0.6240, 0.2478, 0.9981)  4 Au 2.99-3.13, 4 Na 2.99-3.14, 1 Bi 3.32
Bi (0.7040, 0.2377, 0.3544)  5 Au 2.93-3.10
Na (0.3760, 0.7522, 0.0019)  4 Au 2.99-3.13, 4 Na 2.99-3.14, 1 Bi 3.32

# 2
Entry from the Alexandria database: crystalline Na2Bi2Au15 at its relaxed geometry (PBE-GGA).

Properties
- ρ (g/cm³) = 14.10
- calculated formation energy (eV per atom) = -0.10
- space group = R-3m
- total magnetization (μB/cell) = 0.0

a = 7.4095 Å, b = 7.4095 Å, c = 7.4095 Å
α = 85.18°, β = 85.18°, γ = 85.18°
Closest atoms and distances in Å follow each position.
Positions (direct):
Au (0.6647, 0.1804, 0.6647)  8 Au 2.81-2.94, 1 Bi 3.08
Au (0.0000, 0.3426, 0.6574)  7 Au 2.84-3.16
Au (0.0000, 0.5000, 0.0000)  8 Au 2.88-2.94, 2 Bi 3.00
Au (0.8196, 0.3353, 0.3353)  8 Au 2.81-2.94, 1 Bi 3.08
Au (0.3426, 0.6574, 0.0000)  7 Au 2.84-3.16
Au (0.3353, 0.3353, 0.8196)  8 Au 2.81-2.94, 1 Bi 3.08
Bi (0.1086, 0.1086, 0.1086)  6 Au 3.00-3.08, 1 Bi 3.01
Au (0.3353, 0.8196, 0.3353)  8 Au 2.81-2.94, 1 Bi 3.08
Au (0.0000, 0.6574, 0.3426)  7 Au 2.84-3.16
Au (0.0000, 0.0000, 0.5000)  8 Au 2.88-2.94, 2 Bi 3.00
Na (0.3671, 0.3671, 0.3671)  12 Au 3.33-3.38, 1 Bi 3.59, 1 Na 3.69
Na (0.6329, 0.6329, 0.6329)  12 Au 3.33-3.38, 1 Bi 3.59, 1 Na 3.69
Bi (0.8914, 0.8914, 0.8914)  6 Au 3.00-3.08, 1 Bi 3.01
Au (0.6574, 0.3426, 0.0000)  7 Au 2.84-3.16
Au (0.1804, 0.6647, 0.6647)  8 Au 2.81-2.94, 1 Bi 3.08
Au (0.3426, 0.0000, 0.6574)  7 Au 2.84-3.16
Au (0.6574, 0.0000, 0.3426)  7 Au 2.84-3.16
Au (0.5000, 0.0000, 0.0000)  8 Au 2.88-2.94, 2 Bi 3.00
Au (0.6647, 0.6647, 0.1804)  8 Au 2.81-2.94, 1 Bi 3.08

# 3
Entry from the Alexandria database: crystalline NaBiAu6 at its relaxed geometry (PBE-GGA).

Properties
- ρ (g/cm³) = 14.33
- calculated formation energy (eV per atom) = -0.02
- space group = Pm-3
- total magnetization (μB/cell) = 0.0

a = 5.4720 Å, b = 5.4720 Å, c = 5.4720 Å
α = 90.00°, β = 90.00°, γ = 90.00°
Closest atoms and distances in Å follow each position.
Positions (direct):
Au (0.0000, 0.5000, 0.7477)  2 Au 2.71-2.76
Bi (0.0000, 0.0000, 0.0000)  12 Au 3.06
Na (0.5000, 0.5000, 0.5000)  12 Au 3.05
Au (0.5000, 0.2523, 0.0000)  2 Au 2.71-2.76
Au (0.7477, 0.0000, 0.5000)  2 Au 2.71-2.76
Au (0.2523, 0.0000, 0.5000)  2 Au 2.71-2.76
Au (0.5000, 0.7477, 0.0000)  2 Au 2.71-2.76
Au (0.0000, 0.5000, 0.2523)  2 Au 2.71-2.76

# 4
Entry from the Alexandria database: crystalline NaBi2Au6 at its relaxed geometry (PBE-GGA).

Properties
- ρ (g/cm³) = 13.06
- calculated formation energy (eV per atom) = -0.04
- space group = C2/m
- total magnetization (μB/cell) = 0.0

a = 4.9559 Å, b = 8.1032 Å, c = 8.1032 Å
α = 42.30°, β = 71.81°, γ = 71.81°
Closest atoms and distances in Å follow each position.
Positions (direct):
Au (0.6935, 0.5591, 0.0507)  5 Au 2.78-2.97, 3 Bi 2.95-3.06
Bi (0.8792, 0.6239, 0.6239)  6 Au 2.95-3.06
Au (0.6935, 0.0507, 0.5591)  5 Au 2.78-2.97, 3 Bi 2.95-3.06
Au (0.3065, 0.4409, 0.9493)  5 Au 2.78-2.97, 3 Bi 2.95-3.06
Au (0.3065, 0.9493, 0.4409)  5 Au 2.78-2.97, 3 Bi 2.95-3.06
Au (0.5000, 0.7494, 0.2506)  4 Au 2.78-2.93, 2 Na 2.88
Na (0.0000, 0.0000, 0.0000)  4 Au 2.88
Bi (0.1208, 0.3761, 0.3761)  6 Au 2.95-3.06
Au (0.5000, 0.2506, 0.7494)  4 Au 2.78-2.93, 2 Na 2.88

# 5
Entry from the Alexandria database: crystalline Na6BiAu2 at its relaxed geometry (PBE-GGA).

Properties
- ρ (g/cm³) = 4.88
- calculated formation energy (eV per atom) = -0.28
- space group = Immm
- total magnetization (μB/cell) = 0.0

a = 8.7725 Å, b = 8.7725 Å, c = 8.7725 Å
α = 98.39°, β = 118.01°, γ = 112.61°
Closest atoms and distances in Å follow each position.
Positions (direct):
Au (0.5000, 0.3737, 0.8737)  1 Au 2.90, 8 Na 3.03-3.10
Na (0.1007, 0.2934, 0.8072)  3 Au 3.03-3.16, 1 Bi 3.35
Na (0.6964, 0.3649, 0.6685)  3 Au 3.03-3.07
Na (0.5138, 0.7066, 0.8072)  3 Au 3.03-3.16, 1 Bi 3.35
Na (0.8030, 0.7528, 0.5558)  2 Au 3.10-3.13, 2 Bi 3.35-3.40, 2 Na 3.46
Na (0.1970, 0.2472, 0.4442)  2 Au 3.10-3.13, 2 Bi 3.35-3.40, 2 Na 3.46
Na (0.8030, 0.2472, 0.0503)  2 Au 3.10-3.13, 2 Bi 3.35-3.40, 2 Na 3.46
Au (0.3428, 0.0000, 0.3428)  1 Au 2.84, 8 Na 3.07-3.16, 1 Bi 3.10
Na (0.6964, 0.0278, 0.3315)  3 Au 3.03-3.07
Au (0.5000, 0.6263, 0.1263)  1 Au 2.90, 8 Na 3.03-3.10
Bi (0.0000, 0.5000, 0.5000)  12 Na 3.40-3.53
Bi (0.0000, 0.0000, 0.0000)  2 Au 3.10, 8 Na 3.35
Na (0.3036, 0.6351, 0.3315)  3 Au 3.03-3.07
Na (0.8993, 0.7066, 0.1928)  3 Au 3.03-3.16, 1 Bi 3.35
Na (0.4862, 0.2934, 0.1928)  3 Au 3.03-3.16, 1 Bi 3.35
Au (0.6572, 0.0000, 0.6572)  1 Au 2.84, 8 Na 3.07-3.16, 1 Bi 3.10
Na (0.1970, 0.7528, 0.9497)  2 Au 3.10-3.13, 2 Bi 3.35-3.40, 2 Na 3.46
Na (0.3036, 0.9722, 0.6685)  3 Au 3.03-3.07

# 6
Entry from the Alexandria database: crystalline Na2Bi2Au at its relaxed geometry (PBE-GGA).

Properties
- ρ (g/cm³) = 7.50
- energy above the most stable polymorph in this dataset (meV/atom) = 0.0
- calculated formation energy (eV per atom) = -0.27
- space group = C2/m
- total magnetization (μB/cell) = 0.0

a = 4.7493 Å, b = 6.2376 Å, c = 10.9707 Å
α = 88.50°, β = 77.50°, γ = 67.62°
Closest atoms and distances in Å follow each position.
Positions (direct):
Na (0.0623, 0.7553, 0.1202)  2 Au 3.27, 6 Bi 3.35-3.53
Na (0.9377, 0.2447, 0.8798)  2 Au 3.27, 6 Bi 3.35-3.53
Bi (0.6425, 0.8267, 0.8884)  1 Au 2.82, 1 Bi 3.02
Au (0.3911, 0.8975, 0.3203)  4 Bi 2.82-3.08
Bi (0.1014, 0.2472, 0.5501)  3 Au 2.90-3.08, 1 Bi 3.17
Bi (0.8986, 0.7528, 0.4499)  3 Au 2.90-3.08, 1 Bi 3.17
Na (0.6742, 0.3326, 0.3191)  3 Au 3.26-3.46, 6 Bi 3.34-3.61
Na (0.3258, 0.6674, 0.6809)  3 Au 3.26-3.46, 6 Bi 3.34-3.61
Au (0.6089, 0.1025, 0.6797)  4 Bi 2.82-3.08
Bi (0.3575, 0.1733, 0.1116)  1 Au 2.82, 1 Bi 3.02

# 7
Entry from the Alexandria database: crystalline Na8Bi2Au at its relaxed geometry (PBE-GGA).

Properties
- ρ (g/cm³) = 4.12
- calculated formation energy (eV per atom) = -0.31
- space group = Immm
- total magnetization (μB/cell) = 0.0

a = 5.4769 Å, b = 7.3104 Å, c = 9.2564 Å
α = 113.26°, β = 107.21°, γ = 90.00°
Closest atoms and distances in Å follow each position.
Positions (direct):
Au (0.5000, 0.0000, 0.0000)  8 Na 3.02-3.32
Na (0.6457, 0.4064, 0.2913)  1 Au 3.02, 1 Na 3.25, 2 Bi 3.29
Na (0.1841, 0.1847, 0.3681)  8 Na 3.25-3.51, 2 Bi 3.54
Na (0.6460, 0.8852, 0.2920)  1 Au 3.03, 1 Na 3.25, 2 Bi 3.29
Na (0.8159, 0.8153, 0.6319)  8 Na 3.25-3.51, 2 Bi 3.54
Na (0.0002, 0.7427, 0.0003)  2 Au 3.32, 2 Bi 3.35, 7 Na 3.51-3.61
Na (0.9998, 0.2573, 0.9997)  2 Au 3.32, 2 Bi 3.35, 7 Na 3.51-3.61
Bi (0.1767, 0.6765, 0.3535)  12 Na 3.29-3.66
Na (0.3540, 0.1148, 0.7080)  1 Au 3.03, 1 Na 3.25, 2 Bi 3.29
Na (0.3543, 0.5936, 0.7087)  1 Au 3.02, 1 Na 3.25, 2 Bi 3.29
Bi (0.8233, 0.3235, 0.6465)  12 Na 3.29-3.66

# 8
Entry from the Alexandria database: crystalline NaBi4Au2 at its relaxed geometry (PBE-GGA).

Properties
- ρ (g/cm³) = 10.03
- energy above the most stable polymorph in this dataset (meV/atom) = 0.0
- calculated formation energy (eV per atom) = -0.09
- space group = P4_2/mnm
- total magnetization (μB/cell) = 0.0

a = 4.6255 Å, b = 9.4712 Å, c = 9.4712 Å
α = 90.00°, β = 90.00°, γ = 90.00°
Closest atoms and distances in Å follow each position.
Positions (direct):
Bi (0.0000, 0.3147, 0.0738)  3 Au 2.96-3.02, 1 Bi 3.23
Bi (0.0000, 0.0738, 0.3147)  3 Au 2.96-3.02, 1 Bi 3.23
Au (0.0000, 0.7740, 0.2260)  6 Bi 2.96-3.02
Bi (0.5000, 0.5738, 0.1853)  3 Au 2.96-3.02, 1 Bi 3.23
Na (0.5000, 0.0000, 0.0000)  6 Au 3.67-3.81, 8 Bi 3.84
Bi (0.5000, 0.8147, 0.4262)  3 Au 2.96-3.02, 1 Bi 3.23
Au (0.5000, 0.7260, 0.7260)  6 Bi 2.96-3.02
Bi (0.0000, 0.6853, 0.9262)  3 Au 2.96-3.02, 1 Bi 3.23
Bi (0.5000, 0.4262, 0.8147)  3 Au 2.96-3.02, 1 Bi 3.23
Bi (0.5000, 0.1853, 0.5738)  3 Au 2.96-3.02, 1 Bi 3.23
Au (0.0000, 0.2260, 0.7740)  6 Bi 2.96-3.02
Au (0.5000, 0.2740, 0.2740)  6 Bi 2.96-3.02
Na (0.0000, 0.5000, 0.5000)  6 Au 3.67-3.81, 8 Bi 3.84
Bi (0.0000, 0.9262, 0.6853)  3 Au 2.96-3.02, 1 Bi 3.23

# 9
Entry from the Alexandria database: crystalline Na6Bi2Au at its relaxed geometry (PBE-GGA).

Properties
- ρ (g/cm³) = 4.67
- energy above the most stable polymorph in this dataset (meV/atom) = 50.0
- calculated formation energy (eV per atom) = -0.27
- space group = P2_1/c
- total magnetization (μB/cell) = 0.0

a = 5.8476 Å, b = 9.5867 Å, c = 10.0526 Å
α = 90.00°, β = 71.90°, γ = 90.00°
Closest atoms and distances in Å follow each position.
Positions (direct):
Au (0.5000, 0.5000, 0.0000)  2 Bi 2.96, 6 Na 3.07-3.26
Na (0.4598, 0.5264, 0.7038)  1 Au 3.07, 2 Na 3.21-3.30, 2 Bi 3.23-3.34
Na (0.9598, 0.9736, 0.2038)  1 Au 3.07, 2 Na 3.21-3.30, 2 Bi 3.23-3.34
Na (0.0084, 0.3287, 0.4380)  3 Bi 3.18-3.40, 1 Au 3.21, 3 Na 3.27-3.50
Na (0.4916, 0.8287, 0.0620)  3 Bi 3.18-3.40, 1 Au 3.21, 3 Na 3.27-3.50
Na (0.4935, 0.1697, 0.5714)  3 Na 3.21-3.55, 2 Bi 3.22-3.26, 2 Au 3.26-3.57
Na (0.5402, 0.4736, 0.2962)  1 Au 3.07, 2 Na 3.21-3.30, 2 Bi 3.23-3.34
Au (0.0000, 0.0000, 0.5000)  2 Bi 2.96, 6 Na 3.07-3.26
Bi (0.0879, 0.6138, 0.2265)  1 Au 2.96, 5 Na 3.18-3.29
Bi (0.9121, 0.3862, 0.7735)  1 Au 2.96, 5 Na 3.18-3.29
Na (0.0065, 0.6697, 0.9286)  3 Na 3.21-3.55, 2 Bi 3.22-3.26, 2 Au 3.26-3.57
Na (0.9916, 0.6713, 0.5620)  3 Bi 3.18-3.40, 1 Au 3.21, 3 Na 3.27-3.50
Bi (0.4121, 0.1138, 0.2735)  1 Au 2.96, 5 Na 3.18-3.29
Na (0.9935, 0.3303, 0.0714)  3 Na 3.21-3.55, 2 Bi 3.22-3.26, 2 Au 3.26-3.57
Bi (0.5879, 0.8862, 0.7265)  1 Au 2.96, 5 Na 3.18-3.29
Na (0.0402, 0.0264, 0.7962)  1 Au 3.07, 2 Na 3.21-3.30, 2 Bi 3.23-3.34
Na (0.5065, 0.8303, 0.4286)  3 Na 3.21-3.55, 2 Bi 3.22-3.26, 2 Au 3.26-3.57
Na (0.5084, 0.1713, 0.9380)  3 Bi 3.18-3.40, 1 Au 3.21, 3 Na 3.27-3.50

# 10
Entry from the Alexandria database: crystalline Na2Bi2Au at its relaxed geometry (PBE-GGA).

Properties
- ρ (g/cm³) = 8.17
- energy above the most stable polymorph in this dataset (meV/atom) = 2.9
- calculated formation energy (eV per atom) = -0.27
- space group = Amm2
- total magnetization (μB/cell) = 0.0

a = 3.4647 Å, b = 4.9163 Å, c = 8.2558 Å
α = 107.32°, β = 90.00°, γ = 90.00°
Closest atoms and distances in Å follow each position.
Positions (direct):
Bi (0.5000, 0.5136, 0.0272)  2 Au 2.92
Na (0.0000, 0.6956, 0.3912)  4 Au 3.27, 6 Bi 3.35-3.43, 3 Na 3.46-3.51
Au (0.5000, 0.1137, 0.2275)  3 Bi 2.92-2.95
Na (0.0000, 0.9184, 0.8367)  8 Bi 3.36-3.53, 3 Na 3.46-3.51, 2 Au 3.53
Bi (0.5000, 0.3008, 0.6016)  1 Au 2.95

# 11
Entry from the Alexandria database: crystalline NaBiAu2 at its relaxed geometry (PBE-GGA).

Properties
- ρ (g/cm³) = 10.31
- calculated formation energy (eV per atom) = -0.20
- space group = Pnma
- total magnetization (μB/cell) = 0.0

a = 7.3299 Å, b = 9.5485 Å, c = 5.7607 Å
α = 90.00°, β = 90.00°, γ = 90.00°
Closest atoms and distances in Å follow each position.
Positions (direct):
Au (0.0518, 0.2789, 0.3902)  2 Bi 2.84-2.89, 3 Au 2.91-3.03, 1 Na 3.03
Bi (0.7500, 0.4155, 0.5992)  4 Au 2.84-2.89, 1 Na 3.16
Na (0.7500, 0.5620, 0.1067)  2 Au 3.03, 2 Bi 3.16-3.24
Bi (0.2500, 0.0845, 0.0992)  4 Au 2.84-2.89, 1 Na 3.16
Au (0.5518, 0.2211, 0.8902)  2 Bi 2.84-2.89, 3 Au 2.91-3.03, 1 Na 3.03
Au (0.9482, 0.2211, 0.8902)  2 Bi 2.84-2.89, 3 Au 2.91-3.03, 1 Na 3.03
Na (0.2500, 0.4380, 0.8933)  2 Au 3.03, 2 Bi 3.16-3.24
Bi (0.2500, 0.5845, 0.4008)  4 Au 2.84-2.89, 1 Na 3.16
Bi (0.7500, 0.9155, 0.9008)  4 Au 2.84-2.89, 1 Na 3.16
Au (0.4482, 0.7789, 0.1098)  2 Bi 2.84-2.89, 3 Au 2.91-3.03, 1 Na 3.03
Au (0.4482, 0.2789, 0.3902)  2 Bi 2.84-2.89, 3 Au 2.91-3.03, 1 Na 3.03
Na (0.7500, 0.0620, 0.3933)  2 Au 3.03, 2 Bi 3.16-3.24
Au (0.0518, 0.7789, 0.1098)  2 Bi 2.84-2.89, 3 Au 2.91-3.03, 1 Na 3.03
Na (0.2500, 0.9380, 0.6067)  2 Au 3.03, 2 Bi 3.16-3.24
Au (0.5518, 0.7211, 0.6098)  2 Bi 2.84-2.89, 3 Au 2.91-3.03, 1 Na 3.03
Au (0.9482, 0.7211, 0.6098)  2 Bi 2.84-2.89, 3 Au 2.91-3.03, 1 Na 3.03

# 12
Entry from the Alexandria database: crystalline Na4Bi5Au2 at its relaxed geometry (PBE-GGA).

Properties
- ρ (g/cm³) = 8.46
- calculated formation energy (eV per atom) = -0.24
- space group = P2/m
- total magnetization (μB/cell) = 0.0

a = 3.4184 Å, b = 8.2790 Å, c = 10.6498 Å
α = 94.16°, β = 90.00°, γ = 90.00°
Closest atoms and distances in Å follow each position.
Positions (direct):
Au (0.0000, 0.9307, 0.3653)  2 Bi 3.01-3.06, 1 Au 3.01, 6 Na 3.05-3.13
Na (0.5000, 0.2373, 0.4458)  4 Au 3.05-3.13, 2 Bi 3.36
Bi (0.0000, 0.5620, 0.3121)  1 Au 3.06, 4 Bi 3.33-3.42, 2 Na 3.42
Bi (0.0000, 0.1819, 0.1747)  1 Au 3.01, 1 Bi 3.33, 2 Na 3.36
Na (0.5000, 0.7627, 0.5542)  4 Au 3.05-3.13, 2 Bi 3.36
Au (0.0000, 0.0693, 0.6347)  2 Bi 3.01-3.06, 1 Au 3.01, 6 Na 3.05-3.13
Na (0.5000, 0.8310, 0.1256)  2 Au 3.13, 4 Bi 3.38-3.42, 2 Na 3.42
Bi (0.0000, 0.8181, 0.8253)  1 Au 3.01, 1 Bi 3.33, 2 Na 3.36
Bi (0.0000, 0.5000, 0.0000)  6 Bi 3.33-3.42, 4 Na 3.42
Na (0.5000, 0.1690, 0.8744)  2 Au 3.13, 4 Bi 3.38-3.42, 2 Na 3.42
Bi (0.0000, 0.4380, 0.6879)  1 Au 3.06, 4 Bi 3.33-3.42, 2 Na 3.42